A relaxed structure of NaCoTc2Sn, computed with GGA-PBE.

Structure (CIF):
```
data_NaCoTc2Sn
_symmetry_space_group_name_H-M 'P 4/m m m'
_symmetry_Int_Tables_number 123
_symmetry_space_group_name_Hall '-P 4 2'
_cell_length_a 4.549
_cell_length_b 4.549
_cell_length_c 4.799
_cell_angle_alpha 90.00
_cell_angle_beta 90.00
_cell_angle_gamma 90.00
loop_
_atom_site_label
_atom_site_type_symbol
_atom_site_fract_x
_atom_site_fract_y
_atom_site_fract_z
_atom_site_occupancy
Na1 Na 0.000 0.000 0.000 1
Co1 Co 0.500 0.500 0.500 1
Tc1 Tc 0.000 0.500 0.500 1
Sn1 Sn 0.500 0.500 0.000 1
```

Computed properties:
* crystal system: tetragonal
* ΔH_f (0 K): 1.05 eV/atom